Compound: La2Hf2Rh
Source: Alexandria via LeMat-Bulk
Functional: PBE
Structure: relaxed

abc: 7.1308 7.1308 5.3150
angles: 90.00 90.00 90.00
With the nearest neighbours (Å) after each atom.
Space group P4/mbm (No. 127)
Asymmetric unit:
La 0.1564 0.3436 0.0000 x4  2 Rh 2.69
Hf 0.1532 0.6532 0.5000 x4  1 Hf 3.09, 6 La 3.28-3.46
Rh 0.0000 0.0000 0.0000 x2  4 La 2.69

Computed properties:
* energy: -35.502 eV/f.u.
* density of states at the Fermi level: 1.05 states/eV/atom
* energy relative to the elements: 322.2 meV/atom